# Y2ErInN

Y2ErInN after structural relaxation (PBE, Alexandria).

Summary:
Raw formation energy ... -1015 meV per atom
M_tot ... 0.00 μB per formula unit
Fermi-level density of states ... 2.5 states/eV per cell
SG ... No. 123

Cell lengths 4.8302, 4.8302, 4.7706 Å; angles 90.00, 90.00, 90.00 degrees
Closest atoms and distances in Å follow each position.
Fractional positions:
Y (0.0000, 0.5000, 0.0000)  2 N 2.42
Y (0.5000, 0.0000, 0.0000)  2 N 2.42
Er (0.0000, 0.0000, 0.5000)  2 N 2.39
In (0.5000, 0.5000, 0.5000)  8 Y 3.39, 4 Er 3.42
N (0.0000, 0.0000, 0.0000)  2 Er 2.39, 4 Y 2.42